VASP calculation (PBE) on a relaxed LaCuSi2 crystal.

As for the crystal system: orthorhombic. Its electronic total energy is -5.29 eV/atom. For the density of states at the Fermi level, the calculation gives 0.4583 states/eV/atom.

The space group is Imm2 (No. 44) and the conventional cell measures 3.772, 3.932 and 10.936 Å, with angles of 90.00, 90.00 and 90.00 degrees. Symmetry generates all atoms from La at (0.000, 0.000, 0.000), Cu at (0.000, 0.500, 0.249), Si at (0.000, 0.000, 0.369) and Si at (0.000, 0.500, 0.728).

VASP calculation (PBE) on a relaxed Er2Tl2Hg crystal.

As for the crystal system: orthorhombic. Its electronic total energy is -3.06 eV/atom. Its energy relative to the elements is -109.5 kJ/mol of formula units. For the density of states at the Fermi level, the calculation gives 0.6836 states/eV/atom.

The space group is Cmmm (No. 65) and the conventional cell measures 3.623, 21.250 and 3.552 Å, with angles of 90.00, 90.00 and 90.00 degrees. Symmetry generates all atoms from Er at (0.000, 0.091, 0.000), Tl at (0.000, 0.311, 0.500) and Hg at (0.000, 0.500, 0.500).

VASP calculation (PBE) on a relaxed SmDyHoZr crystal.

As for the crystal system: cubic. Its electronic total energy is -5.39 eV/atom. Its energy relative to the elements is 86.8 kJ/mol of formula units. For the density of states at the Fermi level, the calculation gives 1.9282 states/eV/atom.

The space group is F-43m (No. 216) and the conventional cell measures 7.791, 7.791 and 7.791 Å, with angles of 90.00, 90.00 and 90.00 degrees. Symmetry generates all atoms from Sm at (0.000, 0.000, 0.000), Dy at (0.250, 0.250, 0.250), Ho at (0.250, 0.250, 0.750) and Zr at (0.000, 0.000, 0.500).

VASP calculation (PBE) on a relaxed Sm2YTm3Bi6 crystal.

As for the crystal system: monoclinic. Its electronic total energy is -5.23 eV/atom. Its energy relative to the elements is -981.0 kJ/mol of formula units. For the density of states at the Fermi level, the calculation gives 0.1675 states/eV/atom.

The space group is C2/m (No. 12) and the conventional cell measures 19.536, 4.484 and 8.966 Å, with angles of 90.00, 103.16 and 90.00 degrees. Symmetry generates all atoms from Sm at (0.166, 0.000, 0.333), Y at (0.000, 0.500, 0.000), Tm at (0.000, 0.500, 0.500), Tm at (0.167, 0.000, 0.833), Bi at (0.002, 0.000, 0.749), Bi at (0.165, 0.500, 0.588) and Bi at (0.167, 0.500, 0.077).

VASP calculation (PBE) on a relaxed Ac2TaSi2N6 crystal.

As for the crystal system: trigonal. Its electronic total energy is -8.41 eV/atom. For the density of states at the Fermi level, the calculation gives 0.1432 states/eV/atom.

The space group is R-3m (No. 166, hexagonal axes) and the conventional cell measures 5.7452, 5.7452 and 16.4242 Å, with angles of 90.00, 90.00 and 120.00 degrees. Symmetry generates all atoms from Ac at (0.0000, 0.0000, 0.2249), Ta at (0.0000, 0.0000, 0.0000), Si at (0.0000, 0.0000, 0.4288) and N at (0.0025, 0.5013, 0.7442).

VASP calculation (PBE) on a relaxed TePAu2 crystal.

As for the crystal system: orthorhombic. Its electronic total energy is -3.40 eV/atom. For the density of states at the Fermi level, the calculation gives 0.2688 states/eV/atom.

The space group is Cmm2 (No. 35) and the conventional cell measures 3.678, 4.831 and 9.414 Å, with angles of 90.00, 90.00 and 90.00 degrees. Symmetry generates all atoms from Te at (0.000, 0.000, 0.000), P at (0.000, 0.500, 0.681), Au at (0.000, 0.000, 0.497) and Au at (0.000, 0.500, 0.268).

> Which of these has the lowest electronic total energy?

Ac2TaSi2N6